No. 1
Ca2ZnRu2 | GGA-PBE | relaxed

Properties
DOS(E_F)	6.41	states/eV per cell
space-group type	I4/mmm
raw total energy	-4.241	eV/atom
formation energy from the elements	12.098	kcal/mol of atoms

abc: 5.4362 5.4362 5.4362
angles: 117.79 117.79 93.87
With the nearest neighbours (Å) after each atom.
Fractional positions:
Ca1 0.2500 0.7500 0.5000  4 Ru 2.89
Ca2 0.7500 0.2500 0.5000  4 Ru 2.89
Zn1 0.0000 0.0000 0.0000  2 Ru 2.55
Ru1 0.3428 0.3428 0.0000  1 Ru 2.33, 1 Zn 2.55
Ru2 0.6572 0.6572 0.0000  1 Ru 2.33, 1 Zn 2.55


No. 2
EuScZnSi | GGA-PBE | relaxed

Properties
DOS(E_F)	2.84	states/eV per cell
space-group type	F-43m
raw total energy	-6.182	eV/atom

abc: 4.9278 4.9278 4.9278
angles: 60.00 60.00 60.00
With the nearest neighbours (Å) after each atom.
Fractional positions:
Eu1 0.0000 0.0000 0.0000  4 Zn 3.02, 4 Si 3.02
Sc1 0.5000 0.5000 0.5000  4 Si 3.02, 4 Zn 3.02
Zn1 0.7500 0.7500 0.7500  4 Sc 3.02, 4 Eu 3.02
Si1 0.2500 0.2500 0.2500  4 Sc 3.02, 4 Eu 3.02